Record 1
20
Lattice="5.463 -9.348 0.000 5.463 9.348 0.000 0.000 0.000 6.139" Properties=species:S:1:pos:R:3 comment="Tb3CeEr6, optimized geometry, DFT PBE-GGA" e_form_ev_per_atom=0.161 pbc="T T T"
Tb 5.463 7.276 3.069
Tb 3.583 2.071 5.415
Tb 3.583 -2.071 2.346
Tb 7.342 2.071 5.415
Tb 7.342 -2.071 2.346
Tb 5.463 -7.276 0.000
Ce 5.463 3.905 3.607
Ce 5.463 -3.905 0.538
Er 2.795 3.920 1.865
Er 1.793 0.862 2.836
Er 1.793 -0.862 5.906
Er 5.463 5.291 0.417
Er 5.463 0.931 2.150
Er 2.795 -3.920 4.935
Er 8.131 3.920 1.865
Er 5.463 -0.931 5.219
Er 5.463 -5.291 3.487
Er 9.133 0.862 2.836
Er 9.133 -0.862 5.906
Er 8.131 -3.920 4.935


Record 2
10
Lattice="4.174 0.000 0.000 0.000 4.174 0.000 0.000 0.000 11.160" Properties=species:S:1:pos:R:3 comment="Th2ZrGe3Ir4, optimized geometry, DFT PBE-GGA" e_form_ev_per_atom=-0.841 pbc="T T T"
Th 0.000 2.087 2.583
Th 2.087 0.000 8.577
Zr 0.000 0.000 5.580
Ge 0.000 2.087 9.752
Ge 2.087 0.000 1.408
Ge 2.087 2.087 5.580
Ir 0.000 0.000 0.000
Ir 0.000 2.087 7.270
Ir 2.087 0.000 3.890
Ir 2.087 2.087 0.000


Record 3
8
Lattice="4.109 0.000 0.000 0.000 4.109 0.000 0.000 0.000 7.336" Properties=species:S:1:pos:R:3 comment="TaAl2Rh, optimized geometry, DFT PBE-GGA" e_form_ev_per_atom=-0.292 pbc="T T T"
Ta 0.000 0.000 0.000
Ta 2.054 2.054 3.668
Al 0.000 2.054 1.834
Al 0.000 2.054 5.502
Al 2.054 0.000 1.834
Al 2.054 0.000 5.502
Rh 0.000 0.000 3.668
Rh 2.054 2.054 0.000


Number 1: magnetic moment 0.8 μB/f.u.. Number 2: magnetic moment 0.0 μB/f.u.. Number 3: magnetic moment 0.0 μB/f.u..